1.
The following is a DFT calculation (PBE-GGA) of a relaxed Sc2TaCu crystal.

For the formation energy, the calculation gives 0.03 eV/atom. The calculation puts the total magnetization at 0.0 Bohr magnetons per cell. As for the crystal system: monoclinic.

The structure in POSCAR format:
```
Sc2TaCu
1.0
10.7863 0.0000 0.0000
0.0000 3.0490 0.0000
-2.0469 0.0000 4.6235
Sc Ta Cu
4 2 2
Direct
0.0000 0.0000 0.0000
0.2046 0.0000 0.6310
0.5000 0.5000 0.0000
0.7046 0.5000 0.6310
0.2712 0.5000 0.1829
0.7712 0.0000 0.1829
0.4773 0.0000 0.5288
0.9773 0.5000 0.5288
```

---

2.
The following is a DFT calculation (PBE-GGA) of a relaxed LaMnCl3 crystal.

The calculation puts the total magnetization at 3.3 Bohr magnetons per cell. As for the crystal system: cubic.

The structure in POSCAR format:
```
LaMnCl3
1.0
4.8680 0.0000 0.0000
0.0000 4.8680 0.0000
0.0000 0.0000 4.8680
La Mn Cl
1 1 3
Direct
0.0000 0.0000 0.0000
0.5000 0.5000 0.5000
0.0000 0.5000 0.5000
0.5000 0.0000 0.5000
0.5000 0.5000 0.0000
```

---

3.
The following is a DFT calculation (PBE-GGA) of a relaxed Li2Ga5Au2 crystal.

For the formation energy, the calculation gives -0.24 eV/atom. The calculation puts the total magnetization at 0.0 Bohr magnetons per cell. As for the crystal system: orthorhombic.

The structure in POSCAR format:
```
Li2Ga5Au2
1.0
-7.9336 3.7360 2.6633
7.9336 -3.7360 2.6633
7.9336 3.7360 -2.6633
Li Ga Au
4 10 4
Direct
0.1188 0.0599 0.1786
0.1188 0.4401 0.5589
0.8812 0.5599 0.4411
0.8812 0.9401 0.8214
0.0712 0.2638 0.3074
0.4479 0.2202 0.5504
0.4479 0.3976 0.7278
0.4860 0.1434 0.1567
0.4860 0.8293 0.8425
0.6698 0.7202 0.2722
0.6698 0.8976 0.4496
0.9563 0.7638 0.6926
0.9868 0.3293 0.8433
0.9868 0.6434 0.1575
0.2277 0.6510 0.0768
0.4848 0.4848 0.0000
0.4848 0.9848 0.5000
0.5742 0.1510 0.9232
```

---

4.
The following is a DFT calculation (PBE-GGA) of a relaxed HoCuSi2Rh crystal.

The calculation puts the total magnetization at 0.0 Bohr magnetons per cell. As for the crystal system: tetragonal.

The structure in POSCAR format:
```
HoCuSi2Rh
1.0
4.0343 0.0000 0.0000
0.0000 4.0343 0.0000
0.0000 0.0000 9.9278
Ho Cu Si Rh
2 2 4 2
Direct
0.0000 0.0000 0.0000
0.5000 0.5000 0.5000
0.0000 0.5000 0.7500
0.5000 0.0000 0.2500
0.0000 0.0000 0.3813
0.0000 0.0000 0.6187
0.5000 0.5000 0.1187
0.5000 0.5000 0.8813
0.0000 0.5000 0.2500
0.5000 0.0000 0.7500
```

---

5.
The following is a DFT calculation (PBE-GGA) of a relaxed PrY2Os crystal.

For the formation energy, the calculation gives -0.18 eV/atom. The calculation puts the total magnetization at 0.0 Bohr magnetons per cell. As for the crystal system: orthorhombic.

The structure in POSCAR format:
```
PrY2Os
1.0
7.4877 0.0000 0.0000
0.0000 9.2084 0.0000
0.0000 0.0000 6.4953
Pr Y Os
4 8 4
Direct
0.0414 0.2500 0.1304
0.4586 0.7500 0.6304
0.5414 0.2500 0.3696
0.9586 0.7500 0.8696
0.1734 0.0653 0.6652
0.1734 0.4347 0.6652
0.3266 0.5653 0.1652
0.3266 0.9347 0.1652
0.6734 0.0653 0.8348
0.6734 0.4347 0.8348
0.8266 0.5653 0.3348
0.8266 0.9347 0.3348
0.1164 0.7500 0.4518
0.3836 0.2500 0.9518
0.6164 0.7500 0.0482
0.8836 0.2500 0.5482
```

---

6.
The following is a DFT calculation (PBE-GGA) of a relaxed Th6TeP2Se3 crystal.

The calculation puts the total magnetization at 0.0 Bohr magnetons per cell. As for the crystal system: monoclinic.

The structure in POSCAR format:
```
Th6TeP2Se3
1.0
9.1727 -2.1053 0.0000
9.1727 2.1053 0.0000
-1.7250 0.0000 8.3301
Th Te P Se
6 1 2 3
Direct
0.0103 0.0103 0.2712
0.3251 0.3251 0.8964
0.3298 0.3298 0.4277
0.6702 0.6702 0.5723
0.6749 0.6749 0.1036
0.9897 0.9897 0.7288
0.5000 0.5000 0.0000
0.1705 0.1705 0.3361
0.8295 0.8295 0.6639
0.1593 0.1593 0.8324
0.5000 0.5000 0.5000
0.8407 0.8407 0.1676
```

---

7.
The following is a DFT calculation (PBE-GGA) of a relaxed KSi2Mo crystal.

The calculation puts the total magnetization at 0.0 Bohr magnetons per cell. As for the crystal system: tetragonal.

The structure in POSCAR format:
```
KSi2Mo
1.0
3.4462 0.0000 0.0000
0.0000 3.4462 0.0000
0.0000 0.0000 7.8719
K Si Mo
1 2 1
Direct
0.0000 0.0000 0.0000
0.0000 0.0000 0.4313
0.5000 0.5000 0.6790
0.5000 0.5000 0.3837
```

---

8.
The following is a DFT calculation (PBE-GGA) of a relaxed MgSb2Pb crystal.

The calculation puts the total magnetization at 0.0 Bohr magnetons per cell. As for the crystal system: orthorhombic.

The structure in POSCAR format:
```
MgSb2Pb
1.0
4.3373 0.0000 0.0000
0.0000 5.2550 0.0000
0.0000 0.0000 9.5523
Mg Sb Pb
2 4 2
Direct
0.0000 0.0000 0.0000
0.5000 0.5000 0.0000
0.0000 0.5000 0.2195
0.0000 0.5000 0.7805
0.5000 0.0000 0.2195
0.5000 0.0000 0.7805
0.0000 0.0000 0.5000
0.5000 0.5000 0.5000
```

---

9.
The following is a DFT calculation (PBE-GGA) of a relaxed NaBeS2O8 crystal.

The calculation puts the total magnetization at 1.0 Bohr magnetons per cell. As for the crystal system: trigonal.

The structure in POSCAR format:
```
NaBeS2O8
1.0
4.7986 0.0000 0.0000
-2.3993 4.1557 0.0000
0.0000 0.0000 7.0704
Na Be S O
1 1 2 8
Direct
0.0000 0.0000 0.0000
0.0000 0.0000 0.5000
0.3333 0.6667 0.7203
0.6667 0.3333 0.2797
0.0878 0.3407 0.6554
0.2529 0.9122 0.6554
0.3333 0.6667 0.9298
0.3407 0.2529 0.3446
0.6593 0.7471 0.6554
0.6667 0.3333 0.0702
0.7471 0.0878 0.3446
0.9122 0.6593 0.3446
```

---

10.
The following is a DFT calculation (PBE-GGA) of a relaxed CsCdIn2 crystal.

For the formation energy, the calculation gives -0.03 eV/atom. The calculation puts the total magnetization at 0.0 Bohr magnetons per cell. As for the crystal system: tetragonal.

The structure in POSCAR format:
```
CsCdIn2
1.0
3.8201 0.0000 0.0000
0.0000 3.8201 0.0000
0.0000 0.0000 9.2076
Cs Cd In
1 1 2
Direct
0.0000 0.0000 0.0000
0.0000 0.0000 0.5000
0.5000 0.5000 0.3190
0.5000 0.5000 0.6810
```

---

11.
The following is a DFT calculation (PBE-GGA) of a relaxed MgOsN crystal.

The calculation puts the total magnetization at 0.0 Bohr magnetons per cell. As for the crystal system: monoclinic.

The structure in POSCAR format:
```
MgOsN
1.0
9.5236 0.0000 0.0000
0.0000 2.8354 0.0000
-1.2116 0.0000 5.4853
Mg Os N
4 4 4
Direct
0.1135 0.0000 0.3563
0.3865 0.5000 0.6437
0.6135 0.5000 0.3563
0.8865 0.0000 0.6437
0.1288 0.5000 0.8990
0.3712 0.0000 0.1010
0.6288 0.0000 0.8990
0.8712 0.5000 0.1010
0.2302 0.0000 0.7326
0.2698 0.5000 0.2674
0.7302 0.5000 0.7326
0.7698 0.0000 0.2674
```

---

12.
The following is a DFT calculation (PBE-GGA) of a relaxed NaNpCdF6 crystal.

The calculation puts the total magnetization at 7.7 Bohr magnetons per cell. As for the crystal system: trigonal.

The structure in POSCAR format:
```
NaNpCdF6
1.0
5.9748 0.0000 0.0000
-2.9874 5.1743 0.0000
0.0000 0.0000 9.5841
Na Np Cd F
2 2 2 12
Direct
0.3333 0.6667 0.2500
0.6667 0.3333 0.7500
0.3333 0.6667 0.7500
0.6667 0.3333 0.2500
0.0000 0.0000 0.0000
0.0000 0.0000 0.5000
0.0088 0.3338 0.6279
0.0088 0.6749 0.8721
0.3251 0.3338 0.8721
0.3251 0.9912 0.6279
0.3338 0.0088 0.1279
0.3338 0.3251 0.3721
0.6662 0.6749 0.6279
0.6662 0.9912 0.8721
0.6749 0.0088 0.3721
0.6749 0.6662 0.1279
0.9912 0.3251 0.1279
0.9912 0.6662 0.3721
```

---

no.,VASP energy (eV/atom)
1,-7.13
2,-4.90
3,-3.07
4,-6.18
5,-7.41
6,-7.22
7,-5.31
8,-3.41
9,-5.88
10,-1.84
11,-6.94
12,-5.76